Zn2TeIr: relaxed, PBE-GGA.

Geometry as extended XYZ:
```
4
Lattice="9.8890 0.1890 0.1114 9.3683 3.1725 0.1114 9.3683 1.6353 2.7208" Properties=species:S:1:pos:R:3 pbc="T T T"
Te 21.4692 3.7476 2.2076
Zn 28.1165 4.9079 2.8912
Zn 14.8218 2.5873 1.5241
Ir 7.1564 1.2492 0.7359
```

Size of the total moment   0.0 μB per cell
Energy relative to the elements, uncorrected   0.228 eV/atom



Tb4PrSe6: relaxed, PBE-GGA.

Geometry as extended XYZ:
```
22
Lattice="-3.5032 -1.7464 -1.0660 3.2366 -4.4534 4.3791 -9.4917 9.1052 16.2751" Properties=species:S:1:pos:R:3 pbc="T T T"
Se -3.0355 2.5235 5.8410
Se -8.3281 4.0109 13.0776
Se -7.9430 5.8080 16.5874
Se -1.7516 -0.8732 -0.5330
Se -6.4974 3.6794 7.6046
Se -8.3434 1.9366 16.5261
Se -6.7228 0.3819 13.7472
Se -1.4301 -1.1054 6.5106
Se -1.4148 0.9688 3.0621
Se -4.9157 2.9039 11.3966
Se -4.8426 0.0015 8.1916
Se -1.8153 -2.9025 3.0008
Tb 0.0213 -3.2176 5.2014
Tb -3.9674 2.7112 8.5962
Tb 0.0548 -1.1473 1.6994
Tb -9.8131 4.0528 17.8888
Tb -7.4247 3.8642 10.3492
Tb -5.7908 0.1943 10.9920
Tb -9.7795 6.1231 14.3868
Tb -2.3335 -0.9587 9.2390
Pr -3.6650 -0.2450 4.7258
Pr -6.0932 3.1505 14.8624
```

Size of the total moment   0.0 μB per cell
Energy relative to the elements, uncorrected   -1.850 eV/atom



NaLi3O2: relaxed, PBE-GGA.

Geometry as extended XYZ:
```
12
Lattice="3.2057 0.0000 0.0000 -1.6028 6.2827 -0.5136 0.0000 -3.3254 6.5483" Properties=species:S:1:pos:R:3 pbc="T T T"
Li 1.6028 0.7205 2.6663
Li 1.6028 -0.6455 4.5224
Li 0.0000 -0.8574 2.3178
Li 0.0000 3.6029 1.5123
Li 0.0000 2.2369 3.3684
Li 1.6028 3.8148 3.7169
Na 1.6028 1.7095 5.6873
Na 0.0000 1.2479 0.3473
O 1.6028 2.6319 2.1335
O 0.0000 0.3254 3.9012
O 1.6028 -2.4664 5.1226
O 0.0000 5.4237 0.9120
```

Size of the total moment   0.0 μB per cell
Energy relative to the elements, uncorrected   -1.572 eV/atom



La2Pr6HoTm: relaxed, PBE-GGA.

Geometry as extended XYZ:
```
20
Lattice="-9.4699 0.3628 -3.6604 -2.3882 -2.5463 8.2520 1.7522 8.6832 -1.3468" Properties=species:S:1:pos:R:3 pbc="T T T"
Pr 0.4859 6.1735 -0.1929
Pr -6.9496 7.7688 -0.8354
Pr -3.2821 7.1282 -0.7014
Pr -3.1562 -1.2691 4.0802
Pr -1.9481 2.6181 4.6917
Pr -10.5918 0.3261 3.4377
Pr -4.2566 1.4388 2.3162
Pr -4.5536 1.2437 6.4172
Pr -5.8492 5.0609 0.9285
Pr -5.5522 5.2559 -3.1724
Pr -8.1578 3.8815 -1.4469
Pr -6.8238 -0.6285 3.9462
Ho -4.7018 -2.3097 7.2122
Ho -5.4040 8.8093 -3.9674
Tm -7.8142 2.2726 1.6202
Tm -2.2917 4.2271 1.6246
La -5.0188 4.2796 4.0166
La -5.0871 2.2200 -0.7718
La -9.3570 5.5369 1.2667
La -0.7488 0.9627 1.9780
```

Size of the total moment   0.0 μB per cell
E_form   0.111 eV per atom



Pm2EuAs: relaxed, PBE-GGA.

Geometry as extended XYZ:
```
4
Lattice="4.0404 0.0000 0.0000 2.0202 3.4991 0.0000 2.0202 1.1664 9.8962" Properties=species:S:1:pos:R:3 pbc="T T T"
Pm 2.0202 1.1664 1.7263
Pm 6.0606 3.4991 8.1699
Eu 4.0404 2.3327 4.9481
As 0.0000 0.0000 0.0000
```

Size of the total moment   8.1 μB per cell
E_form   -0.635 eV per atom



TlIn3Fe: relaxed, PBE-GGA.

Geometry as extended XYZ:
```
5
Lattice="5.0526 0.0000 0.0000 0.0000 5.0526 0.0000 0.0000 0.0000 5.0526" Properties=species:S:1:pos:R:3 pbc="T T T"
In 2.5263 0.0000 0.0000
In 0.0000 0.0000 2.5263
In 0.0000 2.5263 0.0000
Tl 2.5263 2.5263 2.5263
Fe 0.0000 0.0000 0.0000
```

Size of the total moment   0.2 μB per cell
E_form   0.143 eV per atom



YReCl2: relaxed, PBE-GGA.

Geometry as extended XYZ:
```
4
Lattice="3.1436 0.0000 0.0000 0.0000 4.4704 0.0000 0.0000 0.0000 5.8810" Properties=species:S:1:pos:R:3 pbc="T T T"
Y 1.5718 2.2352 4.4488
Cl 1.5718 2.2352 1.6427
Cl 0.0000 0.0000 5.4798
Re 0.0000 0.0000 3.1312
```

Size of the total moment   0.0 μB per cell
Energy relative to the elements, uncorrected   -0.019 eV/atom



DyErTmTh: relaxed, PBE-GGA.

Geometry as extended XYZ:
```
4
Lattice="-2.3550 1.7578 -2.0217 -1.0236 -1.4125 3.1120 4.5958 8.9500 5.5738" Properties=species:S:1:pos:R:3 pbc="T T T"
Er -0.9857 4.4499 1.2775
Dy 1.6004 6.1798 2.9134
Th 2.7114 7.5196 5.9326
Tm -0.7752 -0.0884 3.3784
```

Size of the total moment   0.3 μB per cell
E_form   0.003 eV per atom



TaGePb2: relaxed, PBE-GGA.

Geometry as extended XYZ:
```
8
Lattice="-0.5746 -4.6473 -4.4779 -4.0118 -3.2642 3.9025 -7.3818 -0.8164 -2.8929" Properties=species:S:1:pos:R:3 pbc="T T T"
Ta 0.0000 0.0000 0.0000
Ta -5.1248 -4.7097 -3.8293
Ge -6.8434 -4.0182 0.3609
Ge -2.2932 -3.9558 -0.2877
Pb -9.5736 -7.5545 -2.6497
Pb -7.2321 -3.5595 -2.4089
Pb -4.4212 -2.7972 1.1830
Pb -2.7095 -3.5446 -3.0610
```

Size of the total moment   0.0 μB per cell
E_form   1.134 eV per atom



Hf2Ga3Ru: relaxed, PBE-GGA.

Geometry as extended XYZ:
```
6
Lattice="-0.6858 -1.3837 2.6941 -2.4488 -3.9573 -2.6559 7.2821 -0.6854 -0.2879" Properties=species:S:1:pos:R:3 pbc="T T T"
Ga 4.0061 -2.3525 -0.1884
Ga 0.1414 -3.6739 -0.0613
Ga 0.0000 0.0000 0.0000
Hf 2.4733 -4.1500 -1.5019
Hf 1.6742 -1.8764 1.2522
Ru -1.2244 -1.9786 -1.3279
```

Size of the total moment   0.0 μB per cell
E_form   -0.064 eV per atom



ThScPa: relaxed, PBE-GGA.

Geometry as extended XYZ:
```
3
Lattice="3.2551 0.0000 0.0000 0.0000 5.3823 0.0000 0.0000 -2.6911 4.6612" Properties=species:S:1:pos:R:3 pbc="T T T"
Sc 2.1700 2.6911 1.5537
Th 0.5439 0.0000 0.0000
Pa 0.5412 0.0000 3.1075
```

Size of the total moment   0.0 μB per cell
E_form   0.182 eV per atom



LiMg2Zr: relaxed, PBE-GGA.

Geometry as extended XYZ:
```
4
Lattice="3.0786 0.0000 0.0000 0.0000 3.0786 0.0000 0.0000 0.0000 8.9463" Properties=species:S:1:pos:R:3 pbc="T T T"
Li 1.5393 1.5393 6.8004
Mg 1.5393 1.5393 2.2296
Mg 0.0000 0.0000 8.7987
Zr 0.0000 0.0000 4.5369
```

Size of the total moment   0.0 μB per cell
E_form   0.090 eV per atom



BaVS4: relaxed, PBE-GGA.

Geometry as extended XYZ:
```
12
Lattice="-6.2794 2.6032 -1.1800 -0.9550 -4.8931 -5.7126 -0.8328 -1.8152 6.7257" Properties=species:S:1:pos:R:3 pbc="T T T"
S -4.2203 -1.1618 3.7939
S -3.8468 -2.9432 -3.9609
S -4.6176 -3.1974 1.4174
S -0.6971 -3.5718 -4.1701
S -2.4255 -4.0926 -1.1208
S -3.4495 -0.9077 -1.5843
S -5.6416 -0.0125 0.9538
S -0.2579 -1.3212 -1.5425
V -6.1975 -1.5190 2.3371
V -1.8696 -2.5861 -2.5040
Ba -2.0288 -1.0782 1.2627
Ba -6.0383 -3.0269 -1.4296
```

Size of the total moment   0.0 μB per cell
Energy relative to the elements, uncorrected   -1.039 eV/atom



LiLuTiIn: relaxed, PBE-GGA.

Geometry as extended XYZ:
```
4
Lattice="-1.6875 -3.7290 -2.7525 2.8777 -2.0040 -3.4688 1.8149 -4.5439 0.6238" Properties=species:S:1:pos:R:3 pbc="T T T"
Li 0.0000 0.0000 0.0000
Lu 2.2538 -7.7077 -4.1982
Ti 0.7513 -2.5692 -1.3994
In 1.5025 -5.1385 -2.7988
```

Size of the total moment   1.4 μB per cell
E_form   -0.027 eV per atom



ScAgIO2: relaxed, PBE-GGA.

Geometry as extended XYZ:
```
5
Lattice="4.2285 0.0000 0.0000 0.0000 4.2285 0.0000 0.0000 0.0000 5.2803" Properties=species:S:1:pos:R:3 pbc="T T T"
O 2.1142 0.0000 0.0000
O 0.0000 2.1142 0.0000
I 0.0000 0.0000 2.6401
Ag 0.0000 0.0000 0.0000
Sc 2.1142 2.1142 2.6401
```

Size of the total moment   0.0 μB per cell
Energy relative to the elements, uncorrected   -0.024 eV/atom



NaPRu2Pt: relaxed, PBE-GGA.

Geometry as extended XYZ:
```
5
Lattice="-3.0399 0.3128 -3.0530 -3.1280 -1.9638 2.9133 -1.0808 3.9128 1.4771" Properties=species:S:1:pos:R:3 pbc="T T T"
Ru -0.5404 1.9564 0.7385
Ru -1.5199 0.1564 -1.5265
Na -1.5640 -0.9819 1.4566
Pt -3.6244 1.1309 0.6687
P 0.0000 0.0000 0.0000
```

Size of the total moment   0.0 μB per cell
E_form   0.533 eV per atom



MgScTi3: relaxed, PBE-GGA.

Geometry as extended XYZ:
```
5
Lattice="-4.3989 0.8384 1.6670 -1.8145 -2.9174 -3.3208 0.4352 -3.6902 3.0042" Properties=species:S:1:pos:R:3 pbc="T T T"
Ti -0.9073 -1.4587 -1.6604
Ti 0.2176 -1.8451 1.5021
Ti -2.1994 0.4192 0.8335
Sc 0.0000 0.0000 0.0000
Mg -2.8891 -2.8846 0.6752
```

Size of the total moment   0.0 μB per cell
E_form   1.110 eV per atom



LaH8IrRh2: relaxed, PBE-GGA.

Geometry as extended XYZ:
```
12
Lattice="4.7398 0.0000 0.0000 2.3699 4.1048 0.0000 2.3699 1.3683 5.7099" Properties=species:S:1:pos:R:3 pbc="T T T"
H 6.2965 2.9062 0.9772
H 3.1830 2.5668 4.7327
H 3.8145 3.9998 0.9772
H 5.6651 1.4732 4.7327
H 4.1084 1.3035 0.9772
H 2.3699 1.3682 2.5103
H 7.1097 4.1048 3.1995
H 5.3712 4.1695 4.7327
Rh 7.1097 4.1048 4.8231
Rh 2.3699 1.3682 0.8868
Ir 0.0000 0.0000 0.0000
La 4.7398 2.7365 2.8549
```

Energy   -57.7 eV for the cell shown
Size of the total moment   0.0 μB per cell



LaNdHo2Sb4: relaxed, PBE-GGA.

Geometry as extended XYZ:
```
8
Lattice="4.4798 0.0000 0.0000 0.0000 7.7330 -0.1456 0.0000 2.7282 7.2583" Properties=species:S:1:pos:R:3 pbc="T T T"
La 2.2399 6.5947 7.1855
Sb 2.2399 3.8943 5.4232
Sb 2.2399 6.5669 1.6895
Sb 0.0001 7.9295 5.2863
Sb 4.4798 2.5316 1.8264
Nd 0.0000 5.2305 3.5564
Ho 0.0000 2.7282 7.2583
Ho 2.2399 1.3641 3.6291
```

Size of the total moment   0.0 μB per cell
Energy relative to the elements, uncorrected   -1.168 eV/atom



Ba2VP: relaxed, PBE-GGA.

Geometry as extended XYZ:
```
4
Lattice="5.6340 -0.2909 0.4347 2.9954 4.6667 1.1247 2.4840 0.6197 5.0460" Properties=species:S:1:pos:R:3 pbc="T T T"
P 0.0000 0.0000 0.0000
V 5.5567 2.4978 3.3027
Ba 8.3351 3.7467 4.9540
Ba 2.7784 1.2489 1.6513
```

Size of the total moment   4.4 μB per cell
E_form   0.213 eV per atom